Entry 1:
This record from the Alexandria database describes PtAu3O after structural relaxation. The functional is PBE.

Properties
Space group   Pm-3m
Total moment   0.000 μB per atom
Formation energy without anion corrections   0.526 eV/atom
Distance to the lowest polymorph of the same formula   0 meV/atom

```
data_PtAu3O
_chemical_formula_sum 'Pt1 Au3 O1'
_cell_length_a 4.405
_cell_length_b 4.405
_cell_length_c 4.405
_cell_angle_alpha 90.00
_cell_angle_beta 90.00
_cell_angle_gamma 90.00
_symmetry_space_group_name_H-M 'P 1'
_symmetry_Int_Tables_number 1
_symmetry_space_group_name_Hall 'P 1'
loop_
_atom_site_label
_atom_site_fract_x
_atom_site_fract_y
_atom_site_fract_z
_atom_site_occupancy
Au1 0.000 0.500 0.000 1
Au2 0.000 0.000 0.500 1
Au3 0.500 0.000 0.000 1
O1 0.000 0.000 0.000 1
Pt1 0.500 0.500 0.500 1
```



Entry 2:
This record from the Alexandria database describes Rb5PtAuO2 after structural relaxation. The functional is PBE.

Properties
Space group   P4/mmm
Total moment   0.047 μB per atom
Formation energy without anion corrections   -0.702 eV/atom

```
data_Rb5PtAuO2
_chemical_formula_sum 'Rb5 Pt1 Au1 O2'
_cell_length_a 5.695
_cell_length_b 5.695
_cell_length_c 9.522
_cell_angle_alpha 90.00
_cell_angle_beta 90.00
_cell_angle_gamma 90.00
_symmetry_space_group_name_H-M 'P 1'
_symmetry_Int_Tables_number 1
_symmetry_space_group_name_Hall 'P 1'
loop_
_atom_site_label
_atom_site_fract_x
_atom_site_fract_y
_atom_site_fract_z
_atom_site_occupancy
Rb1 0.000 0.000 0.500 1
Rb2 0.000 0.500 0.787 1
Rb3 0.500 0.000 0.213 1
Rb4 0.000 0.500 0.213 1
Rb5 0.500 0.000 0.787 1
Pt1 0.000 0.000 0.000 1
Au1 0.500 0.500 0.500 1
O1 0.000 0.000 0.213 1
O2 0.000 0.000 0.787 1
```



Entry 3:
This record from the Alexandria database describes Rb2PtAuO after structural relaxation. The functional is PBE.

Properties
Space group   P4/mmm
Total moment   0.103 μB per atom
Formation energy without anion corrections   -0.537 eV/atom

```
data_Rb2PtAuO
_chemical_formula_sum 'Rb2 Pt1 Au1 O1'
_cell_length_a 6.162
_cell_length_b 6.162
_cell_length_c 3.819
_cell_angle_alpha 90.00
_cell_angle_beta 90.00
_cell_angle_gamma 90.00
_symmetry_space_group_name_H-M 'P 1'
_symmetry_Int_Tables_number 1
_symmetry_space_group_name_Hall 'P 1'
loop_
_atom_site_label
_atom_site_fract_x
_atom_site_fract_y
_atom_site_fract_z
_atom_site_occupancy
O1 0.000 0.000 0.000 1
Au1 0.500 0.500 0.500 1
Rb1 0.000 0.500 0.000 1
Rb2 0.500 0.000 0.000 1
Pt1 0.000 0.000 0.500 1
```



Entry 4:
This record from the Alexandria database describes SbPtAuO6 after structural relaxation. The functional is PBE.

Properties
Space group   P-31c
Total moment   0.000 μB per atom
Formation energy without anion corrections   -0.577 eV/atom

```
data_SbPtAuO6
_chemical_formula_sum 'Sb2 Pt2 Au2 O12'
_cell_length_a 5.311
_cell_length_b 5.311
_cell_length_c 9.297
_cell_angle_alpha 90.00
_cell_angle_beta 90.00
_cell_angle_gamma 120.00
_symmetry_space_group_name_H-M 'P 1'
_symmetry_Int_Tables_number 1
_symmetry_space_group_name_Hall 'P 1'
loop_
_atom_site_label
_atom_site_fract_x
_atom_site_fract_y
_atom_site_fract_z
_atom_site_occupancy
Sb1 0.667 0.333 0.250 1
Sb2 0.333 0.667 0.750 1
Pt1 0.333 0.667 0.250 1
Pt2 0.667 0.333 0.750 1
Au1 0.000 0.000 0.000 1
Au2 0.000 0.000 0.500 1
O1 0.636 0.639 0.132 1
O2 0.003 0.364 0.132 1
O3 0.364 0.003 0.632 1
O4 0.997 0.636 0.868 1
O5 0.361 0.364 0.368 1
O6 0.003 0.639 0.368 1
O7 0.639 0.003 0.868 1
O8 0.636 0.997 0.368 1
O9 0.997 0.361 0.632 1
O10 0.361 0.997 0.132 1
O11 0.639 0.636 0.632 1
O12 0.364 0.361 0.868 1
```



> What is the formation energy without anion corrections in the third record?

-0.537 eV/atom



Copy entry 4 word for word.
This record from the Alexandria database describes SbPtAuO6 after structural relaxation. The functional is PBE.

Properties
Space group   P-31c
Total moment   0.000 μB per atom
Formation energy without anion corrections   -0.577 eV/atom

```
data_SbPtAuO6
_chemical_formula_sum 'Sb2 Pt2 Au2 O12'
_cell_length_a 5.311
_cell_length_b 5.311
_cell_length_c 9.297
_cell_angle_alpha 90.00
_cell_angle_beta 90.00
_cell_angle_gamma 120.00
_symmetry_space_group_name_H-M 'P 1'
_symmetry_Int_Tables_number 1
_symmetry_space_group_name_Hall 'P 1'
loop_
_atom_site_label
_atom_site_fract_x
_atom_site_fract_y
_atom_site_fract_z
_atom_site_occupancy
Sb1 0.667 0.333 0.250 1
Sb2 0.333 0.667 0.750 1
Pt1 0.333 0.667 0.250 1
Pt2 0.667 0.333 0.750 1
Au1 0.000 0.000 0.000 1
Au2 0.000 0.000 0.500 1
O1 0.636 0.639 0.132 1
O2 0.003 0.364 0.132 1
O3 0.364 0.003 0.632 1
O4 0.997 0.636 0.868 1
O5 0.361 0.364 0.368 1
O6 0.003 0.639 0.368 1
O7 0.639 0.003 0.868 1
O8 0.636 0.997 0.368 1
O9 0.997 0.361 0.632 1
O10 0.361 0.997 0.132 1
O11 0.639 0.636 0.632 1
O12 0.364 0.361 0.868 1
```



> Among the records above, which one has the highest formation energy without anion corrections?

PtAu3O